*one*
{
  "formula": "Li2Te",
  "functional": "GGA-PBE",
  "state": "relaxed",
  "cell": [[1.061, 7.243, 1.865], [-1.582, -7.039, 2.241], [4.196, -0.762, 0.571]],
  "species": ["Te", "Li", "Te", "Li", "Li", "Li"],
  "frac_coords": [[0.375, 0.625, 0.250], [0.914, 0.086, 0.750], [0.625, 0.375, 0.750], [0.252, 0.748, 0.750], [0.748, 0.252, 0.250], [0.086, 0.914, 0.250]],
  "sg": "Cmcm"
}

*two*
{
  "formula": "Li2Te",
  "functional": "GGA-PBE",
  "state": "relaxed",
  "cell": [[4.614, 0.000, 0.000], [2.307, 3.995, 0.000], [2.307, 1.332, 3.767]],
  "species": ["Li", "Te", "Li"],
  "frac_coords": [[0.750, 0.750, 0.750], [0.000, 0.000, 0.000], [0.250, 0.250, 0.250]],
  "sg": "Fm-3m"
}

The structure with the least stability is *one*.

*one*
{
  "formula": "Li2Te",
  "functional": "GGA-PBE",
  "state": "relaxed",
  "cell": [[-2.312, 3.611, 1.797], [2.269, -2.935, 2.802], [5.473, 3.754, -0.499]],
  "species": ["Li", "Li", "Li", "Li", "Te", "Te"],
  "frac_coords": [[0.000, 0.000, 0.500], [0.000, 0.000, 0.000], [0.667, 0.333, 0.750], [0.333, 0.667, 0.250], [0.333, 0.667, 0.750], [0.667, 0.333, 0.250]],
  "sg": "P6_3/mmc"
}

*two*
{
  "formula": "Li2Te",
  "functional": "GGA-PBE",
  "state": "relaxed",
  "cell": [[4.594, -0.010, 0.015], [2.354, 3.946, 0.015], [1.565, 0.886, 8.512]],
  "species": ["Te", "Te", "Li", "Li", "Li", "Li"],
  "frac_coords": [[0.359, 0.359, 0.078], [0.586, 0.586, 0.533], [0.897, 0.897, 0.615], [0.047, 0.047, 0.996], [0.663, 0.663, 0.201], [0.282, 0.282, 0.410]],
  "sg": "C2/m"
}

The structure with the least stability is *one*.

*one*
{
  "formula": "Li2Te",
  "functional": "GGA-PBE",
  "state": "relaxed",
  "cell": [[-1.968, 1.968, 8.246], [1.968, -1.968, 8.246], [1.968, 1.968, -8.246]],
  "species": ["Li", "Li", "Li", "Te", "Te", "Li"],
  "frac_coords": [[0.823, 0.323, 0.500], [0.927, 0.927, 0.000], [0.073, 0.073, 0.000], [0.250, 0.750, 0.500], [0.500, 0.500, 0.000], [0.677, 0.177, 0.500]],
  "sg": "I4_1/amd"
}

*two*
{
  "formula": "Li2Te",
  "functional": "GGA-PBE",
  "state": "relaxed",
  "cell": [[-3.295, -2.959, 0.931], [3.540, -1.273, -2.514], [2.405, -1.391, 4.091]],
  "species": ["Li", "Li", "Te"],
  "frac_coords": [[0.333, 0.667, 0.166], [0.667, 0.333, 0.834], [0.000, 0.000, 0.000]],
  "sg": "P-3m1"
}

The structure with the least stability is *one*.

*one*
{
  "formula": "Li3Te",
  "functional": "GGA-PBE",
  "state": "relaxed",
  "cell": [[4.189, 0.000, 0.000], [0.000, 4.189, 0.000], [0.000, 0.000, 4.189]],
  "species": ["Li", "Te", "Li", "Li"],
  "frac_coords": [[0.000, 0.500, 0.500], [0.000, 0.000, 0.000], [0.500, 0.000, 0.500], [0.500, 0.500, 0.000]],
  "sg": "Pm-3m"
}

*two*
{
  "formula": "Li3Te",
  "functional": "GGA-PBE",
  "state": "relaxed",
  "cell": [[-1.831, 2.521, 3.120], [2.839, -3.182, 1.122], [4.357, 3.728, -0.455]],
  "species": ["Li", "Li", "Li", "Te"],
  "frac_coords": [[0.000, 0.000, 0.536], [0.667, 0.333, 0.250], [0.000, 0.000, 0.964], [0.667, 0.333, 0.750]],
  "sg": "P-6m2"
}

*three*
{
  "formula": "Li3Te",
  "functional": "GGA-PBE",
  "state": "relaxed",
  "cell": [[5.335, 0.000, 0.000], [0.000, 5.335, 0.000], [0.000, 0.000, 5.335]],
  "species": ["Li", "Li", "Li", "Li", "Li", "Li", "Te", "Te"],
  "frac_coords": [[0.500, 0.000, 0.750], [0.000, 0.750, 0.500], [0.000, 0.250, 0.500], [0.500, 0.000, 0.250], [0.250, 0.500, 0.000], [0.750, 0.500, 0.000], [0.000, 0.000, 0.000], [0.500, 0.500, 0.500]],
  "sg": "Pm-3n"
}

The structure with the least stability is *two*.